(1)
First-principles (GGA-PBE) data for PaBeTl after structural relaxation, as listed in OQMD.

Computed properties:
As for the space-group type: F-43m (216). The excess energy over the best structure of this formula in the dataset comes out at 494 meV/atom.

```
data_PaBeTl
_cell_length_a 4.777
_cell_length_b 4.777
_cell_length_c 4.777
_cell_angle_alpha 60.00
_cell_angle_beta 60.00
_cell_angle_gamma 60.00
_space_group_name_H-M_alt 'P 1'
_space_group_IT_number 1
loop_
_space_group_symop_operation_xyz
'x,y,z'
loop_
_atom_site_label
_atom_site_fract_x
_atom_site_fract_y
_atom_site_fract_z
Tl1 0.000 0.000 0.000
Pa1 0.750 0.750 0.750
Be1 0.250 0.250 0.250
```



(2)
First-principles (GGA-PBE) data for PaBeTl after structural relaxation, as listed in OQMD.

Computed properties:
As for the space-group type: F-43m (216). The excess energy over the best structure of this formula in the dataset comes out at 0 meV/atom.

```
data_PaBeTl
_cell_length_a 4.551
_cell_length_b 4.551
_cell_length_c 4.551
_cell_angle_alpha 60.00
_cell_angle_beta 60.00
_cell_angle_gamma 60.00
_space_group_name_H-M_alt 'P 1'
_space_group_IT_number 1
loop_
_space_group_symop_operation_xyz
'x,y,z'
loop_
_atom_site_label
_atom_site_fract_x
_atom_site_fract_y
_atom_site_fract_z
Tl1 0.750 0.750 0.750
Pa1 0.250 0.250 0.250
Be1 0.000 0.000 0.000
```



(3)
First-principles (GGA-PBE) data for UPaBe after structural relaxation, as listed in OQMD.

Computed properties:
As for the space-group type: F-43m (216). The excess energy over the best structure of this formula in the dataset comes out at 0 meV/atom.

```
data_UPaBe
_cell_length_a 4.336
_cell_length_b 4.336
_cell_length_c 4.336
_cell_angle_alpha 60.00
_cell_angle_beta 60.00
_cell_angle_gamma 60.00
_space_group_name_H-M_alt 'P 1'
_space_group_IT_number 1
loop_
_space_group_symop_operation_xyz
'x,y,z'
loop_
_atom_site_label
_atom_site_fract_x
_atom_site_fract_y
_atom_site_fract_z
U1 0.750 0.750 0.750
Pa1 0.250 0.250 0.250
Be1 0.000 0.000 0.000
```



(4)
First-principles (GGA-PBE) data for PaBeW after structural relaxation, as listed in OQMD.

Computed properties:
As for the space-group type: F-43m (216). The excess energy over the best structure of this formula in the dataset comes out at 0 meV/atom.

```
data_PaBeW
_cell_length_a 4.260
_cell_length_b 4.260
_cell_length_c 4.260
_cell_angle_alpha 60.00
_cell_angle_beta 60.00
_cell_angle_gamma 60.00
_space_group_name_H-M_alt 'P 1'
_space_group_IT_number 1
loop_
_space_group_symop_operation_xyz
'x,y,z'
loop_
_atom_site_label
_atom_site_fract_x
_atom_site_fract_y
_atom_site_fract_z
Pa1 0.250 0.250 0.250
W1 0.750 0.750 0.750
Be1 0.000 0.000 0.000
```



(5)
First-principles (GGA-PBE) data for PaBeW after structural relaxation, as listed in OQMD.

Computed properties:
As for the space-group type: F-43m (216). The excess energy over the best structure of this formula in the dataset comes out at 933 meV/atom.

```
data_PaBeW
_cell_length_a 4.449
_cell_length_b 4.449
_cell_length_c 4.449
_cell_angle_alpha 60.00
_cell_angle_beta 60.00
_cell_angle_gamma 60.00
_space_group_name_H-M_alt 'P 1'
_space_group_IT_number 1
loop_
_space_group_symop_operation_xyz
'x,y,z'
loop_
_atom_site_label
_atom_site_fract_x
_atom_site_fract_y
_atom_site_fract_z
W1 0.750 0.750 0.750
Be1 0.250 0.250 0.250
Pa1 0.000 0.000 0.000
```



(6)
First-principles (GGA-PBE) data for ZrPaBe after structural relaxation, as listed in OQMD.

Computed properties:
As for the space-group type: F-43m (216). The excess energy over the best structure of this formula in the dataset comes out at 850 meV/atom.

```
data_ZrPaBe
_cell_length_a 4.535
_cell_length_b 4.535
_cell_length_c 4.535
_cell_angle_alpha 60.00
_cell_angle_beta 60.00
_cell_angle_gamma 60.00
_space_group_name_H-M_alt 'P 1'
_space_group_IT_number 1
loop_
_space_group_symop_operation_xyz
'x,y,z'
loop_
_atom_site_label
_atom_site_fract_x
_atom_site_fract_y
_atom_site_fract_z
Be1 0.500 0.500 0.500
Zr1 0.000 0.000 0.000
Pa1 0.250 0.250 0.250
```



(7)
First-principles (GGA-PBE) data for ZrPaBe after structural relaxation, as listed in OQMD.

Computed properties:
As for the space-group type: F-43m (216). The excess energy over the best structure of this formula in the dataset comes out at 0 meV/atom.

```
data_ZrPaBe
_cell_length_a 4.455
_cell_length_b 4.455
_cell_length_c 4.455
_cell_angle_alpha 60.00
_cell_angle_beta 60.00
_cell_angle_gamma 60.00
_space_group_name_H-M_alt 'P 1'
_space_group_IT_number 1
loop_
_space_group_symop_operation_xyz
'x,y,z'
loop_
_atom_site_label
_atom_site_fract_x
_atom_site_fract_y
_atom_site_fract_z
Pa1 0.250 0.250 0.250
Be1 0.000 0.000 0.000
Zr1 0.750 0.750 0.750
```



(8)
First-principles (GGA-PBE) data for Be2PdPb after structural relaxation, as listed in OQMD.

Computed properties:
As for the space-group type: F-43m (216). For the total energy, the calculation gives -3.609 eV/atom.

```
data_Be2PdPb
_cell_length_a 4.448
_cell_length_b 4.448
_cell_length_c 4.448
_cell_angle_alpha 60.00
_cell_angle_beta 60.00
_cell_angle_gamma 60.00
_space_group_name_H-M_alt 'P 1'
_space_group_IT_number 1
loop_
_space_group_symop_operation_xyz
'x,y,z'
loop_
_atom_site_label
_atom_site_fract_x
_atom_site_fract_y
_atom_site_fract_z
Pd1 0.250 0.250 0.250
Pb1 0.500 0.500 0.500
Be1 0.000 0.000 0.000
Be2 0.750 0.750 0.750
```



(9)
First-principles (GGA-PBE) data for BePdPb after structural relaxation, as listed in OQMD.

Computed properties:
As for the space-group type: F-43m (216). The excess energy over the best structure of this formula in the dataset comes out at 0 meV/atom.

```
data_BePdPb
_cell_length_a 4.351
_cell_length_b 4.351
_cell_length_c 4.351
_cell_angle_alpha 60.00
_cell_angle_beta 60.00
_cell_angle_gamma 60.00
_space_group_name_H-M_alt 'P 1'
_space_group_IT_number 1
loop_
_space_group_symop_operation_xyz
'x,y,z'
loop_
_atom_site_label
_atom_site_fract_x
_atom_site_fract_y
_atom_site_fract_z
Pd1 0.750 0.750 0.750
Pb1 0.500 0.500 0.500
Be1 0.000 0.000 0.000
```



(10)
First-principles (GGA-PBE) data for SrBePdPb after structural relaxation, as listed in OQMD.

Computed properties:
As for the space-group type: F-43m (216). The excess energy over the best structure of this formula in the dataset comes out at 0 meV/atom.

```
data_SrBePdPb
_cell_length_a 4.973
_cell_length_b 4.973
_cell_length_c 4.973
_cell_angle_alpha 60.00
_cell_angle_beta 60.00
_cell_angle_gamma 60.00
_space_group_name_H-M_alt 'P 1'
_space_group_IT_number 1
loop_
_space_group_symop_operation_xyz
'x,y,z'
loop_
_atom_site_label
_atom_site_fract_x
_atom_site_fract_y
_atom_site_fract_z
Be1 0.750 0.750 0.750
Pb1 0.500 0.500 0.500
Sr1 0.000 0.000 0.000
Pd1 0.250 0.250 0.250
```



(11)
First-principles (GGA-PBE) data for SrBePdPb after structural relaxation, as listed in OQMD.

Computed properties:
As for the space-group type: F-43m (216). The excess energy over the best structure of this formula in the dataset comes out at 79 meV/atom.

```
data_SrBePdPb
_cell_length_a 4.950
_cell_length_b 4.950
_cell_length_c 4.950
_cell_angle_alpha 60.00
_cell_angle_beta 60.00
_cell_angle_gamma 60.00
_space_group_name_H-M_alt 'P 1'
_space_group_IT_number 1
loop_
_space_group_symop_operation_xyz
'x,y,z'
loop_
_atom_site_label
_atom_site_fract_x
_atom_site_fract_y
_atom_site_fract_z
Sr1 0.000 0.000 0.000
Be1 0.750 0.750 0.750
Pd1 0.500 0.500 0.500
Pb1 0.250 0.250 0.250
```



(12)
First-principles (GGA-PBE) data for SrBePdPb after structural relaxation, as listed in OQMD.

Computed properties:
As for the space-group type: F-43m (216). The excess energy over the best structure of this formula in the dataset comes out at 123 meV/atom.

```
data_SrBePdPb
_cell_length_a 5.005
_cell_length_b 5.005
_cell_length_c 5.005
_cell_angle_alpha 60.00
_cell_angle_beta 60.00
_cell_angle_gamma 60.00
_space_group_name_H-M_alt 'P 1'
_space_group_IT_number 1
loop_
_space_group_symop_operation_xyz
'x,y,z'
loop_
_atom_site_label
_atom_site_fract_x
_atom_site_fract_y
_atom_site_fract_z
Sr1 0.250 0.250 0.250
Pb1 0.000 0.000 0.000
Be1 0.750 0.750 0.750
Pd1 0.500 0.500 0.500
```



(13)
First-principles (GGA-PBE) data for PmBePb after structural relaxation, as listed in OQMD.

Computed properties:
As for the space-group type: F-43m (216). The excess energy over the best structure of this formula in the dataset comes out at 0 meV/atom.

```
data_PmBePb
_cell_length_a 4.640
_cell_length_b 4.640
_cell_length_c 4.640
_cell_angle_alpha 60.00
_cell_angle_beta 60.00
_cell_angle_gamma 60.00
_space_group_name_H-M_alt 'P 1'
_space_group_IT_number 1
loop_
_space_group_symop_operation_xyz
'x,y,z'
loop_
_atom_site_label
_atom_site_fract_x
_atom_site_fract_y
_atom_site_fract_z
Pb1 0.250 0.250 0.250
Pm1 0.750 0.750 0.750
Be1 0.000 0.000 0.000
```



(14)
First-principles (GGA-PBE) data for PrBePb after structural relaxation, as listed in OQMD.

Computed properties:
As for the space-group type: F-43m (216). The excess energy over the best structure of this formula in the dataset comes out at 0 meV/atom.

```
data_PrBePb
_cell_length_a 4.696
_cell_length_b 4.696
_cell_length_c 4.696
_cell_angle_alpha 60.00
_cell_angle_beta 60.00
_cell_angle_gamma 60.00
_space_group_name_H-M_alt 'P 1'
_space_group_IT_number 1
loop_
_space_group_symop_operation_xyz
'x,y,z'
loop_
_atom_site_label
_atom_site_fract_x
_atom_site_fract_y
_atom_site_fract_z
Be1 0.000 0.000 0.000
Pr1 0.750 0.750 0.750
Pb1 0.250 0.250 0.250
```



(15)
First-principles (GGA-PBE) data for PrBePb after structural relaxation, as listed in OQMD.

Computed properties:
As for the space-group type: F-43m (216). The excess energy over the best structure of this formula in the dataset comes out at 595 meV/atom.

```
data_PrBePb
_cell_length_a 5.041
_cell_length_b 5.041
_cell_length_c 5.041
_cell_angle_alpha 60.00
_cell_angle_beta 60.00
_cell_angle_gamma 60.00
_space_group_name_H-M_alt 'P 1'
_space_group_IT_number 1
loop_
_space_group_symop_operation_xyz
'x,y,z'
loop_
_atom_site_label
_atom_site_fract_x
_atom_site_fract_y
_atom_site_fract_z
Be1 0.250 0.250 0.250
Pb1 0.750 0.750 0.750
Pr1 0.000 0.000 0.000
```